No. 1
The following is a GGA-PBE calculation of a relaxed Ca2B2Mo crystal, from Alexandria via LeMat-Bulk.

Calculated values
- Spin magnetization: 0.000 μB per atom
- Raw total energy: -4.818 eV/atom

Cell: 3.662 3.662 6.094 Å, 72.51 72.51 90.00°
Atoms (fractional coordinates):
1 Ca 0.750 0.250 0.500
2 Ca 0.250 0.750 0.500
3 B 0.426 0.426 0.148
4 Mo 0.000 0.000 0.000
5 B 0.574 0.574 0.852

***

No. 2
The following is a GGA-PBE calculation of a relaxed InHgBr2 crystal, from Alexandria via LeMat-Bulk.

Calculated values
- Spin magnetization: 0.000 μB per atom
- Raw total energy: -2.160 eV/atom
- Energy relative to the elements, uncorrected: -564 meV per atom

Cell: 6.717 6.840 7.661 Å, 85.99 64.25 80.63°
Atoms (fractional coordinates):
1 Br 0.525 0.560 0.024
2 Br 0.532 0.026 0.324
3 Br 0.922 0.425 0.325
4 Hg 0.215 0.044 0.883
5 Hg 0.772 0.040 0.766
6 In 0.548 0.399 0.324
7 In 0.069 0.878 0.324
8 Br 0.228 0.561 0.624

***

No. 3
The following is a GGA-PBE calculation of a relaxed Ho5Ga2Pb2 crystal, from Alexandria via LeMat-Bulk.

Calculated values
- Spin magnetization: 0.000 μB per atom
- Raw total energy: -4.580 eV/atom

Cell: 7.815 7.972 8.756 Å, 117.08 90.00 90.00°
Atoms (fractional coordinates):
1 Pb 0.000 0.786 0.573
2 Ga 0.378 0.120 0.000
3 Pb 0.500 0.286 0.573
4 Pb 0.500 0.714 0.427
5 Ho 0.326 0.693 0.741
6 Ho 0.326 0.952 0.259
7 Ho 0.674 0.048 0.741
8 Ho 0.500 0.500 0.000
9 Ga 0.878 0.380 0.000
10 Ho 0.826 0.548 0.741
11 Pb 0.000 0.214 0.427
12 Ho 0.826 0.807 0.259
13 Ho 0.174 0.193 0.741
14 Ho 0.000 0.000 0.000
15 Ga 0.122 0.620 0.000
16 Ho 0.174 0.452 0.259
17 Ho 0.674 0.307 0.259
18 Ga 0.622 0.880 0.000

***

No. 4
The following is a GGA-PBE calculation of a relaxed HgPb2IO crystal, from Alexandria via LeMat-Bulk.

Calculated values
- Spin magnetization: 0.000 μB per atom
- Raw total energy: -2.056 eV/atom
- Energy relative to the elements, uncorrected: 789 meV per atom

Cell: 5.806 5.664 5.806 Å, 90.00 90.00 90.00°
Atoms (fractional coordinates):
1 I 0.000 0.500 0.000
2 Hg 0.000 0.000 0.000
3 Pb 0.500 0.000 0.000
4 O 0.500 0.500 0.500
5 Pb 0.000 0.000 0.500

***

No. 5
The following is a GGA-PBE calculation of a relaxed KRbSbBr6 crystal, from Alexandria via LeMat-Bulk.

Calculated values
- Spin magnetization: 0.000 μB per atom
- Raw total energy: -2.834 eV/atom
- Energy relative to the elements, uncorrected: -1031 meV per atom

Cell: 7.146 8.014 8.014 Å, 120.00 90.00 90.00°
Atoms (fractional coordinates):
1 Br 0.278 0.994 0.721
2 Br 0.278 0.727 0.006
3 Br 0.722 0.727 0.721
4 K 0.500 0.667 0.333
5 Br 0.722 0.279 0.006
6 Br 0.278 0.279 0.273
7 Br 0.722 0.994 0.273
8 Sb 0.500 0.000 0.000
9 Rb 0.000 0.333 0.667

***

No. 6
The following is a GGA-PBE calculation of a relaxed CaTlH3 crystal, from Alexandria via LeMat-Bulk.

Calculated values
- Spin magnetization: 0.000 μB per atom
- Raw total energy: -2.612 eV/atom

Cell: 4.248 4.248 4.248 Å, 90.00 90.00 90.00°
Atoms (fractional coordinates):
1 H 0.000 0.500 0.000
2 Tl 0.000 0.000 0.000
3 H 0.000 0.000 0.500
4 H 0.500 0.000 0.000
5 Ca 0.500 0.500 0.500

***

No. 7
The following is a GGA-PBE calculation of a relaxed Li2B2SbRh5 crystal, from Alexandria via LeMat-Bulk.

Calculated values
- Spin magnetization: 0.000 μB per atom
- Raw total energy: -6.254 eV/atom
- Energy relative to the elements, uncorrected: -448 meV per atom

Cell: 2.931 9.567 9.567 Å, 90.00 90.00 90.00°
Atoms (fractional coordinates):
1 Rh 0.500 0.428 0.279
2 B 0.000 0.878 0.378
3 Li 0.000 0.674 0.174
4 Rh 0.500 0.000 0.500
5 Li 0.000 0.174 0.326
6 Sb 0.000 0.500 0.500
7 Sb 0.000 0.000 0.000
8 Rh 0.500 0.572 0.721
9 Rh 0.500 0.279 0.572
10 B 0.000 0.378 0.122
11 Rh 0.500 0.500 0.000
12 B 0.000 0.122 0.622
13 B 0.000 0.622 0.878
14 Rh 0.500 0.779 0.928
15 Li 0.000 0.826 0.674
16 Rh 0.500 0.721 0.428
17 Rh 0.500 0.221 0.072
18 Rh 0.500 0.928 0.221
19 Li 0.000 0.326 0.826
20 Rh 0.500 0.072 0.779

***

No. 8
The following is a GGA-PBE calculation of a relaxed V2RhN crystal, from Alexandria via LeMat-Bulk.

Calculated values
- Spin magnetization: 0.000 μB per atom
- Raw total energy: -9.246 eV/atom
- Energy relative to the elements, uncorrected: -768 meV per atom

Cell: 2.865 2.865 6.692 Å, 77.64 77.64 60.00°
Atoms (fractional coordinates):
1 V 0.777 0.777 0.669
2 Rh 0.000 0.000 0.000
3 N 0.500 0.500 0.500
4 V 0.223 0.223 0.331

***

No. 9
The following is a GGA-PBE calculation of a relaxed Cs2SrAs2O6 crystal, from Alexandria via LeMat-Bulk.

Calculated values
- Spin magnetization: 0.000 μB per atom
- Raw total energy: -5.690 eV/atom
- Energy relative to the elements, uncorrected: -1832 meV per atom

Cell: 6.405 6.426 7.405 Å, 116.48 90.00 119.89°
Atoms (fractional coordinates):
1 Sr 0.500 0.000 0.500
2 O 0.227 0.008 0.261
3 O 0.236 0.473 0.293
4 As 0.941 0.882 0.804
5 O 0.219 0.992 0.739
6 O 0.781 0.008 0.261
7 Cs 0.277 0.553 0.812
8 O 0.773 0.992 0.739
9 O 0.764 0.527 0.707
10 As 0.059 0.118 0.196
11 Cs 0.723 0.447 0.188

***

No. 10
The following is a GGA-PBE calculation of a relaxed Nd2Dy2Ni15 crystal, from Alexandria via LeMat-Bulk.

Calculated values
- Spin magnetization: 0.107 μB per atom
- Raw total energy: -5.759 eV/atom

Cell: 6.518 6.518 6.518 Å, 82.47 82.47 82.47°
Atoms (fractional coordinates):
1 Ni 0.307 0.693 0.000
2 Ni 0.500 0.000 0.000
3 Ni 0.347 0.347 0.834
4 Ni 0.347 0.834 0.347
5 Nd 0.359 0.359 0.359
6 Ni 0.166 0.653 0.653
7 Dy 0.111 0.111 0.111
8 Ni 0.653 0.653 0.166
9 Ni 0.000 0.000 0.500
10 Nd 0.641 0.641 0.641
11 Ni 0.000 0.307 0.693
12 Ni 0.000 0.500 0.000
13 Dy 0.889 0.889 0.889
14 Ni 0.307 0.000 0.693
15 Ni 0.834 0.347 0.347
16 Ni 0.000 0.693 0.307
17 Ni 0.693 0.000 0.307
18 Ni 0.653 0.166 0.653
19 Ni 0.693 0.307 0.000

***

No. 11
The following is a GGA-PBE calculation of a relaxed ZnCrTe crystal, from Alexandria via LeMat-Bulk.

Calculated values
- Spin magnetization: 1.073 μB per atom
- Raw total energy: -4.664 eV/atom
- Energy relative to the elements, uncorrected: 16 meV per atom

Cell: 9.365 4.139 7.160 Å, 90.00 104.69 90.00°
Atoms (fractional coordinates):
1 Zn 0.619 0.500 0.902
2 Te 0.300 0.500 0.796
3 Zn 0.619 0.500 0.569
4 Cr 0.454 0.000 0.681
5 Cr 0.783 0.000 0.790
6 Cr 0.454 0.500 0.181
7 Te 0.937 0.500 0.007
8 Zn 0.619 0.000 0.069
9 Cr 0.783 0.500 0.290
10 Te 0.937 0.000 0.507
11 Te 0.300 0.000 0.296
12 Zn 0.619 0.000 0.402

***

No. 12
The following is a GGA-PBE calculation of a relaxed PmNd8Ho5 crystal, from Alexandria via LeMat-Bulk.

Calculated values
- Spin magnetization: 0.000 μB per atom
- Raw total energy: -4.458 eV/atom

Cell: 8.586 8.586 8.586 Å, 111.47 105.55 111.47°
Atoms (fractional coordinates):
1 Ho 0.500 0.000 0.500
2 Nd 0.727 0.257 0.331
3 Ho 0.868 0.905 0.182
4 Ho 0.037 0.314 0.132
5 Nd 0.530 0.604 0.273
6 Nd 0.669 0.396 0.926
7 Nd 0.926 0.090 0.659
8 Nd 0.074 0.743 0.470
9 Nd 0.569 0.910 0.835
10 Ho 0.818 0.686 0.723
11 Nd 0.165 0.733 0.074
12 Nd 0.341 0.267 0.431
13 Ho 0.277 0.095 0.963
14 Pm 0.250 0.500 0.750